! Cu6PdPt (PBE, optimized geometry); values from VASP
&SYSTEM
  ibrav = 0, nat = 8, ntyp = 3
/
ATOMIC_SPECIES
Cu 63.55 Cu.upf
Pd 106.42 Pd.upf
Pt 195.08 Pt.upf
ATOMIC_POSITIONS crystal
Cu 0.500 0.500 0.000
Cu 0.500 0.000 0.250
Cu 0.000 0.500 0.250
Cu 0.000 0.500 0.750
Cu 0.500 0.000 0.750
Cu 0.500 0.500 0.500
Pd 0.000 0.000 0.000
Pt 0.000 0.000 0.500
CELL_PARAMETERS angstrom
-2.985 -1.524 1.593
1.413 -3.381 -0.586
3.386 0.272 6.602
! **Formation enthalpy at 0 K**: -0.123 eV per atom
! **Space group**: P4/mmm